# 1
{"formula": "Er8Cu2Os", "functional": "PBE-GGA", "state": "relaxed", "lattice": [[-2.364, 1.158, -4.300], [3.813, -4.366, -3.272], [-5.760, -4.725, 4.849]], "species": ["Er", "Er", "Er", "Er", "Er", "Er", "Er", "Er", "Os", "Cu", "Cu"], "frac_coords": [[0.333, 0.024, 0.666], [0.591, 0.440, 0.183], [0.198, 0.318, 0.396], [0.802, 0.682, 0.604], [0.667, 0.976, 0.334], [0.968, 0.203, 0.936], [0.032, 0.797, 0.064], [0.409, 0.560, 0.817], [0.500, 0.000, 0.000], [0.184, 0.714, 0.367], [0.816, 0.286, 0.633]], "final_energy_ev_per_atom": -5.267}

=====

# 2
{"formula": "PrErCuOs", "functional": "PBE-GGA", "state": "relaxed", "lattice": [[-2.382, 2.863, -3.236], [-4.247, 2.161, 1.278], [-0.175, 4.883, 0.687]], "species": ["Er", "Pr", "Os", "Cu"], "frac_coords": [[0.000, 0.000, 0.000], [0.500, 0.500, 0.500], [0.750, 0.750, 0.750], [0.250, 0.250, 0.250]], "final_energy_ev_per_atom": -6.306}

=====

# 3
{"formula": "ErTaCuOs", "functional": "PBE-GGA", "state": "relaxed", "lattice": [[4.628, 0.000, 0.000], [2.314, 4.008, 0.000], [2.314, 1.336, 3.779]], "species": ["Os", "Cu", "Ta", "Er"], "frac_coords": [[0.500, 0.500, 0.500], [0.000, 0.000, 0.000], [0.750, 0.750, 0.750], [0.250, 0.250, 0.250]], "final_energy_ev_per_atom": -8.026}

=====

# 4
{"formula": "ErThCuOs", "functional": "PBE-GGA", "state": "relaxed", "lattice": [[4.948, 0.000, 0.000], [2.474, 4.285, 0.000], [2.474, 1.428, 4.040]], "species": ["Er", "Th", "Cu", "Os"], "frac_coords": [[0.500, 0.500, 0.500], [0.000, 0.000, 0.000], [0.250, 0.250, 0.250], [0.750, 0.750, 0.750]], "final_energy_ev_per_atom": -7.067}

=====

# 5
{"formula": "Er4ZnCu2Os", "functional": "PBE-GGA", "state": "relaxed", "lattice": [[4.882, 0.000, 0.000], [2.441, 4.228, 0.000], [2.441, 1.409, 7.948]], "species": ["Er", "Er", "Er", "Er", "Cu", "Cu", "Zn", "Os"], "frac_coords": [[0.129, 0.129, 0.612], [0.380, 0.380, 0.860], [0.871, 0.871, 0.388], [0.620, 0.620, 0.140], [0.254, 0.254, 0.239], [0.746, 0.746, 0.761], [0.000, 0.000, 0.000], [0.500, 0.500, 0.500]], "final_energy_ev_per_atom": -5.192}

=====

# 6
{"formula": "ErZrCuOs", "functional": "PBE-GGA", "state": "relaxed", "lattice": [[-4.564, -0.826, 0.918], [-2.484, -2.902, -2.786], [-1.359, -4.233, 1.609]], "species": ["Er", "Cu", "Os", "Zr"], "frac_coords": [[0.000, 0.000, 0.000], [0.250, 0.250, 0.250], [0.750, 0.750, 0.750], [0.500, 0.500, 0.500]], "final_energy_ev_per_atom": -7.407}

=====

What did the fifth record say?
{"formula": "Er4ZnCu2Os", "functional": "PBE-GGA", "state": "relaxed", "lattice": [[4.882, 0.000, 0.000], [2.441, 4.228, 0.000], [2.441, 1.409, 7.948]], "species": ["Er", "Er", "Er", "Er", "Cu", "Cu", "Zn", "Os"], "frac_coords": [[0.129, 0.129, 0.612], [0.380, 0.380, 0.860], [0.871, 0.871, 0.388], [0.620, 0.620, 0.140], [0.254, 0.254, 0.239], [0.746, 0.746, 0.761], [0.000, 0.000, 0.000], [0.500, 0.500, 0.500]], "final_energy_ev_per_atom": -5.192}